(1)
{"formula": "LiDy4Pb5", "functional": "PBE", "state": "optimized geometry", "sg": "No. 79", "n_ef_per_ev_cell": 8.4, "e_form_ev_per_atom": -0.244, "lattice_angstrom": [[6.334, 0.000, 0.000], [3.167, 6.787, 0.000], [3.167, 0.000, 6.787]], "species": ["Dy", "Dy", "Dy", "Dy", "Pb", "Pb", "Pb", "Pb", "Pb", "Li"], "fractional_positions": [[0.382, 0.393, 0.769], [0.775, 0.769, 0.607], [0.151, 0.231, 0.393], [0.544, 0.607, 0.231], [0.227, 0.838, 0.637], [0.703, 0.162, 0.363], [0.065, 0.637, 0.162], [0.634, 0.000, 0.000], [0.865, 0.363, 0.838], [0.165, 0.000, 0.000]]}

(2)
{"formula": "Cs2Ag2S", "functional": "PBE", "state": "optimized geometry", "sg": "No. 139", "n_ef_per_ev_cell": 0.0, "raw_formation_energy_mev_per_atom": -336, "lattice_angstrom": [[7.010, 0.000, 0.000], [0.000, 7.010, 0.000], [3.505, 3.505, 3.807]], "species": ["S", "Ag", "Ag", "Cs", "Cs"], "fractional_positions": [[0.000, 0.000, 0.000], [0.674, 0.674, 0.653], [0.326, 0.326, 0.347], [0.750, 0.250, 0.500], [0.250, 0.750, 0.500]]}

(3)
{"formula": "SrReWC", "functional": "PBE", "state": "optimized geometry", "sg": "No. 38", "n_ef_per_ev_cell": 4.4, "polymorph_energy_ev_per_atom": 0.1458, "e_form_ev_per_atom": 0.626, "lattice_angstrom": [[3.928, 0.000, 0.000], [0.000, 3.330, 0.000], [0.000, 0.000, 11.881]], "species": ["Sr", "Sr", "C", "C", "Re", "Re", "W", "W"], "fractional_positions": [[0.000, 0.500, 0.124], [0.000, 0.000, 0.624], [0.500, 0.000, 0.968], [0.500, 0.500, 0.468], [0.000, 0.500, 0.398], [0.000, 0.000, 0.898], [0.500, 0.000, 0.352], [0.500, 0.500, 0.852]]}

(4)
{"formula": "RbLaCr2Cu", "functional": "PBE", "state": "optimized geometry", "sg": "No. 123", "n_ef_per_ev_cell": 6.1, "e_form_ev_per_atom": 2.183, "lattice_angstrom": [[-2.898, -1.851, 3.967], [4.377, -1.286, 2.597], [0.062, 5.159, 2.451]], "species": ["Cu", "La", "Cr", "Cr", "Rb"], "fractional_positions": [[0.500, 0.500, 0.500], [0.000, 0.000, 0.500], [0.000, 0.500, 0.000], [0.500, 0.000, 0.000], [0.000, 0.000, 0.000]]}

(5)
{"formula": "TmPuBiTe", "functional": "PBE", "state": "optimized geometry", "sg": "No. 123", "n_ef_per_ev_cell": 13.0, "raw_formation_energy_mev_per_atom": -840, "lattice_angstrom": [[-3.064, 2.462, 2.097], [-3.232, -2.438, -1.860], [0.167, -3.903, 4.827]], "species": ["Tm", "Bi", "Te", "Pu"], "fractional_positions": [[0.000, 0.000, 0.500], [0.000, 0.000, 0.000], [0.500, 0.500, 0.500], [0.500, 0.500, 0.000]]}

(6)
{"formula": "La4NiCl3", "functional": "PBE", "state": "optimized geometry", "sg": "No. 13", "n_ef_per_ev_cell": 10.5, "raw_formation_energy_mev_per_atom": -1272, "polymorph_energy_ev_per_atom": 0.0000, "lattice_angstrom": [[-6.201, -3.242, -0.959], [1.502, -0.424, 7.338], [-3.952, 7.197, 1.224]], "species": ["La", "La", "La", "La", "La", "La", "La", "La", "Ni", "Ni", "Cl", "Cl", "Cl", "Cl", "Cl", "Cl"], "fractional_positions": [[0.988, 0.785, 0.880], [0.512, 0.215, 0.880], [0.488, 0.785, 0.120], [0.012, 0.215, 0.120], [0.991, 0.233, 0.618], [0.491, 0.233, 0.382], [0.509, 0.767, 0.618], [0.009, 0.767, 0.382], [0.750, 0.000, 0.869], [0.250, 0.000, 0.131], [0.750, 0.000, 0.370], [0.250, 0.000, 0.630], [0.250, 0.500, 0.369], [0.250, 0.500, 0.870], [0.750, 0.500, 0.130], [0.750, 0.500, 0.631]]}